KLiAs2S4 | GGA-PBE | relaxed

Cell lengths 6.4428, 7.0320, 7.0320 Å; angles 49.66, 62.73, 62.73 degrees
Sites, in units of the cell vectors:
S (0.8238, 0.6040, 0.0901)
S (0.1762, 0.9099, 0.3960)
S (0.5179, 0.3960, 0.9099)
S (0.4821, 0.0901, 0.6040)
As (0.7726, 0.7274, 0.7274)
As (0.2274, 0.2726, 0.2726)
Li (0.5000, 0.5000, 0.5000)
K (0.0000, 0.0000, 0.0000)

ρ: 2.57 g cm⁻³
formation energy without anion corrections: -49.12 kJ per mole of atoms

***

K2LiSnAs2 | GGA-PBE | relaxed

Cell lengths 6.5879, 6.7992, 9.0641 Å; angles 112.03, 111.31, 90.00 degrees
Sites, in units of the cell vectors:
As (0.1480, 0.9015, 0.8030)
As (0.8520, 0.0985, 0.1970)
As (0.3451, 0.5985, 0.1970)
As (0.6549, 0.4015, 0.8030)
K (0.0646, 0.3254, 0.6509)
K (0.5863, 0.8254, 0.6509)
K (0.4137, 0.1746, 0.3491)
K (0.9354, 0.6746, 0.3491)
Sn (0.5000, 0.7500, 0.0000)
Sn (0.5000, 0.2500, 0.0000)
Li (0.0000, 0.2500, 0.0000)
Li (0.0000, 0.7500, 0.0000)

ρ: 3.39 g cm⁻³
ΔE_f: -453 meV/atom

***

- Which of these has the lowest ρ?
  KLiAs2S4

***

- What is the ρ in the first record?
  2.57 g cm⁻³

***

- Which value of ρ does entry 2 give?
  3.39 g cm⁻³